VASP calculation (PBE) on an optimized crystal structure of Y2VCuIr.

Unit cell a=5.232 b=5.232 c=4.416 alpha=90.00 beta=90.00 gamma=90.00
Space group P4/mmm (No. 123)
Symmetry-distinct sites (fractional):
Y 0.000 0.500 0.000
V 0.000 0.000 0.000
Cu 0.500 0.500 0.500
Ir 0.000 0.000 0.500

## Properties
Energy of formation from the pure elements (eV per atom): 0.556
E (eV per atom): -6.4448
N(E_F) (states/eV/f.u.): 5.034